No. 1
A plane-wave DFT calculation with PBE was carried out for a geometry-optimized HoMgBi structure.

Lattice parameters (Å, degrees): 7.308 7.308 7.308 90.00 90.00 90.00
Space group F-43m (No. 216)
Unique sites:
1 Ho 0.000 0.000 0.000 (multiplicity 4)
2 Mg 0.250 0.250 0.250 (multiplicity 4)
3 Bi 0.250 0.250 0.750 (multiplicity 4)

total magnetic moment: 0.0 Bohr magnetons per cell
relative energy among the computed polymorphs: 0.000 eV/atom
raw total energy: -42.010 eV/cell

***

No. 2
A plane-wave DFT calculation with PBE was carried out for a geometry-optimized Ho3BiN2 structure.

Lattice parameters (Å, degrees): 3.5249 3.5249 10.3878 90.00 90.00 120.00
Space group P-3m1 (No. 164)
Unique sites:
1 Ho 0.0000 0.0000 0.0000 (multiplicity 1)
2 Ho 0.3333 0.6667 0.2539 (multiplicity 2)
3 Bi 0.0000 0.0000 0.5000 (multiplicity 1)
4 N 0.3333 0.6667 0.8598 (multiplicity 2)

total magnetic moment: 0.0 Bohr magnetons per cell
raw total energy: -42.456 eV/cell

***

No. 3
A plane-wave DFT calculation with PBE was carried out for a geometry-optimized Ho3Bi2N structure.

Lattice parameters (Å, degrees): 3.9102 3.9102 10.9725 90.00 90.00 120.00
Space group P-3m1 (No. 164)
Unique sites:
1 Ho 0.0000 0.0000 0.0000 (multiplicity 1)
2 Ho 0.3333 0.6667 0.3867 (multiplicity 2)
3 Bi 0.3333 0.6667 0.8110 (multiplicity 2)
4 N 0.0000 0.0000 0.5000 (multiplicity 1)

total magnetic moment: 0.0 Bohr magnetons per cell
raw total energy: -35.179 eV/cell

***

No. 4
A plane-wave DFT calculation with PBE was carried out for a geometry-optimized HoBiN2O structure.

Lattice parameters (Å, degrees): 8.153 8.155 11.570 90.00 132.64 90.00
Space group P2_1/c (No. 14)
Unique sites:
1 Ho 0.050 0.220 0.026 (multiplicity 4)
2 Ho 0.437 0.720 0.480 (multiplicity 4)
3 Bi 0.029 0.004 0.274 (multiplicity 4)
4 Bi 0.488 0.512 0.231 (multiplicity 4)
5 N 0.078 0.744 0.722 (multiplicity 4)
6 N 0.195 0.603 0.002 (multiplicity 4)
7 N 0.291 0.111 0.296 (multiplicity 4)
8 N 0.427 0.240 0.644 (multiplicity 4)
9 O 0.188 0.540 0.505 (multiplicity 4)
10 O 0.335 0.028 0.836 (multiplicity 4)

total magnetic moment: 0.0 Bohr magnetons per cell
raw total energy: -267.481 eV/cell

***

No. 5
A plane-wave DFT calculation with PBE was carried out for a geometry-optimized HoBiN2O structure.

Lattice parameters (Å, degrees): 3.734 3.856 5.357 90.00 90.86 90.00
Space group Pm (No. 6)
Unique sites:
1 Ho 0.000 0.000 0.000 (multiplicity 1)
2 Bi 0.514 0.500 0.442 (multiplicity 1)
3 N 0.010 0.500 0.250 (multiplicity 1)
4 N 0.537 0.500 0.832 (multiplicity 1)
5 O 0.508 0.000 0.243 (multiplicity 1)

total magnetic moment: 0.0 Bohr magnetons per cell
raw total energy: -32.727 eV/cell

***

No. 6
A plane-wave DFT calculation with PBE was carried out for a geometry-optimized HoBiN2O structure.

Lattice parameters (Å, degrees): 5.720 5.799 6.043 61.62 62.83 60.48
Space group P1 (No. 1)
Unique sites:
1 Ho 0.000 0.000 0.000 (multiplicity 1)
2 Ho 0.279 0.276 0.173 (multiplicity 1)
3 Bi 0.507 0.469 0.524 (multiplicity 1)
4 Bi 0.783 0.786 0.650 (multiplicity 1)
5 N 0.180 0.605 0.354 (multiplicity 1)
6 N 0.406 0.088 0.833 (multiplicity 1)
7 N 0.668 0.416 0.825 (multiplicity 1)
8 N 0.878 0.178 0.340 (multiplicity 1)
9 O 0.077 0.672 0.859 (multiplicity 1)
10 O 0.598 0.876 0.331 (multiplicity 1)

total magnetic moment: 0.0 Bohr magnetons per cell
raw total energy: -67.116 eV/cell

***

No. 7
A plane-wave DFT calculation with PBE was carried out for a geometry-optimized HoBiNO structure.

Lattice parameters (Å, degrees): 3.786 6.601 6.403 90.00 90.00 90.00
Space group Pmc2_1 (No. 26)
Unique sites:
1 Ho 0.000 0.186 0.000 (multiplicity 2)
2 Bi 0.500 0.328 0.570 (multiplicity 2)
3 N 0.500 0.365 0.930 (multiplicity 2)
4 O 0.000 0.065 0.301 (multiplicity 2)

total magnetic moment: 0.0 Bohr magnetons per cell
relative energy among the computed polymorphs: 0.000 eV/atom
raw total energy: -53.901 eV/cell

***

No. 8
A plane-wave DFT calculation with PBE was carried out for a geometry-optimized HoBiN2O structure.

Lattice parameters (Å, degrees): 8.716 5.690 5.803 90.00 90.00 90.00
Space group Ima2 (No. 46)
Unique sites:
1 Ho 0.250 0.034 0.000 (multiplicity 4)
2 Bi 0.000 0.000 0.526 (multiplicity 4)
3 N 0.089 0.238 0.266 (multiplicity 8)
4 O 0.250 0.648 0.098 (multiplicity 4)

total magnetic moment: 0.0 Bohr magnetons per cell
raw total energy: -132.519 eV/cell

***

No. 9
A plane-wave DFT calculation with PBE was carried out for a geometry-optimized HoBiNO structure.

Lattice parameters (Å, degrees): 4.522 4.522 7.521 90.00 90.00 90.00
Space group P4/nmm (No. 129, origin choice 2)
Unique sites:
1 Ho 0.250 0.750 0.000 (multiplicity 2)
2 Bi 0.250 0.250 0.394 (multiplicity 2)
3 N 0.250 0.250 0.932 (multiplicity 2)
4 O 0.250 0.750 0.500 (multiplicity 2)

total magnetic moment: 0.0 Bohr magnetons per cell
relative energy among the computed polymorphs: 0.488 eV/atom
raw total energy: -49.997 eV/cell

***

No. 10
A plane-wave DFT calculation with PBE was carried out for a geometry-optimized HoBiN2O structure.

Lattice parameters (Å, degrees): 8.027 5.785 6.003 90.00 90.00 90.00
Space group Pmc2_1 (No. 26)
Unique sites:
1 Ho 0.000 0.229 0.000 (multiplicity 2)
2 Ho 0.500 0.246 0.115 (multiplicity 2)
3 Bi 0.252 0.270 0.564 (multiplicity 4)
4 N 0.000 0.384 0.633 (multiplicity 2)
5 N 0.301 0.403 0.898 (multiplicity 4)
6 N 0.500 0.116 0.485 (multiplicity 2)
7 O 0.175 0.057 0.263 (multiplicity 4)

total magnetic moment: 0.0 Bohr magnetons per cell
raw total energy: -133.241 eV/cell

***

No. 11
A plane-wave DFT calculation with PBE was carried out for a geometry-optimized HoBiN2O structure.

Lattice parameters (Å, degrees): 6.0575 6.0575 14.6515 90.00 90.00 120.00
Space group P6_3/mmc (No. 194)
Unique sites:
1 Ho 0.0000 0.0000 0.2500 (multiplicity 2)
2 Ho 0.3333 0.6667 0.1442 (multiplicity 4)
3 Bi 0.0000 0.0000 0.0000 (multiplicity 2)
4 Bi 0.3333 0.6667 0.6373 (multiplicity 4)
5 N 0.1410 0.2820 0.6102 (multiplicity 12)
6 O 0.0371 0.5185 0.2500 (multiplicity 6)

total magnetic moment: 0.0 Bohr magnetons per cell
raw total energy: -187.520 eV/cell

***

No. 12
A plane-wave DFT calculation with PBE was carried out for a geometry-optimized HoBiN2O structure.

Lattice parameters (Å, degrees): 4.192 4.192 4.136 90.00 90.00 90.00
Space group P4/mmm (No. 123)
Unique sites:
1 Ho 0.000 0.000 0.000 (multiplicity 1)
2 Bi 0.500 0.500 0.500 (multiplicity 1)
3 N 0.000 0.500 0.500 (multiplicity 2)
4 O 0.500 0.500 0.000 (multiplicity 1)

total magnetic moment: 0.0 Bohr magnetons per cell
raw total energy: -30.448 eV/cell

***

No. 13
A plane-wave DFT calculation with PBE was carried out for a geometry-optimized HoBiN2O structure.

Lattice parameters (Å, degrees): 6.6206 6.6206 12.1624 90.00 90.00 120.00
Space group P6_3cm (No. 185)
Unique sites:
1 Ho 0.0000 0.0000 0.0000 (multiplicity 2)
2 Ho 0.3333 0.6667 0.4703 (multiplicity 4)
3 Bi 0.0000 0.3336 0.2343 (multiplicity 6)
4 N 0.0000 0.3095 0.4028 (multiplicity 6)
5 N 0.0000 0.3605 0.0672 (multiplicity 6)
6 O 0.0000 0.0000 0.1997 (multiplicity 2)
7 O 0.3333 0.6667 0.2652 (multiplicity 4)

total magnetic moment: 0.0 Bohr magnetons per cell
raw total energy: -198.637 eV/cell

***

No. 14
A plane-wave DFT calculation with PBE was carried out for a geometry-optimized HoBiNO structure.

Lattice parameters (Å, degrees): 4.504 4.504 7.799 90.00 90.00 90.00
Space group P4/nmm (No. 129, origin choice 2)
Unique sites:
1 Ho 0.250 0.250 0.087 (multiplicity 2)
2 Bi 0.250 0.750 0.500 (multiplicity 2)
3 N 0.250 0.250 0.366 (multiplicity 2)
4 O 0.250 0.750 0.000 (multiplicity 2)

total magnetic moment: 0.0 Bohr magnetons per cell
relative energy among the computed polymorphs: 0.111 eV/atom
raw total energy: -53.014 eV/cell

***

No. 15
A plane-wave DFT calculation with PBE was carried out for a geometry-optimized HoBiN2O structure.

Lattice parameters (Å, degrees): 8.586 5.588 5.850 90.00 90.00 90.00
Space group Pmc2_1 (No. 26)
Unique sites:
1 Ho 0.000 0.222 0.000 (multiplicity 2)
2 Ho 0.500 0.277 0.134 (multiplicity 2)
3 Bi 0.250 0.250 0.567 (multiplicity 4)
4 N 0.170 0.057 0.264 (multiplicity 4)
5 N 0.330 0.444 0.869 (multiplicity 4)
6 O 0.000 0.400 0.635 (multiplicity 2)
7 O 0.500 0.101 0.500 (multiplicity 2)

total magnetic moment: 0.0 Bohr magnetons per cell
raw total energy: -133.678 eV/cell

***

No. 16
A plane-wave DFT calculation with PBE was carried out for a geometry-optimized HoBiNO structure.

Lattice parameters (Å, degrees): 6.931 7.548 5.582 90.00 90.00 90.00
Space group Pca2_1 (No. 29)
Unique sites:
1 Ho 0.096 0.135 0.000 (multiplicity 4)
2 Bi 0.123 0.668 0.028 (multiplicity 4)
3 N 0.092 0.103 0.593 (multiplicity 4)
4 O 0.037 0.391 0.168 (multiplicity 4)

total magnetic moment: 0.0 Bohr magnetons per cell
relative energy among the computed polymorphs: 0.129 eV/atom
raw total energy: -105.744 eV/cell

***

No. 17
A plane-wave DFT calculation with PBE was carried out for a geometry-optimized HoBiNO structure.

Lattice parameters (Å, degrees): 3.693 7.056 5.779 90.00 90.00 90.00
Space group Pmc2_1 (No. 26)
Unique sites:
1 Ho 0.000 0.141 0.000 (multiplicity 2)
2 Bi 0.500 0.359 0.471 (multiplicity 2)
3 N 0.000 0.166 0.398 (multiplicity 2)
4 O 0.500 0.205 0.833 (multiplicity 2)

total magnetic moment: 0.0 Bohr magnetons per cell
relative energy among the computed polymorphs: 0.074 eV/atom
raw total energy: -53.308 eV/cell

***

No. 18
A plane-wave DFT calculation with PBE was carried out for a geometry-optimized HoBiN2O structure.

Lattice parameters (Å, degrees): 3.618 6.665 6.084 90.00 90.00 90.00
Space group Pmc2_1 (No. 26)
Unique sites:
1 Ho 0.000 0.148 0.000 (multiplicity 2)
2 Bi 0.500 0.330 0.537 (multiplicity 2)
3 N 0.000 0.179 0.612 (multiplicity 2)
4 N 0.500 0.379 0.906 (multiplicity 2)
5 O 0.500 0.112 0.253 (multiplicity 2)

total magnetic moment: 0.0 Bohr magnetons per cell
raw total energy: -66.811 eV/cell

***

No. 19
A plane-wave DFT calculation with PBE was carried out for a geometry-optimized HoBiN2O structure.

Lattice parameters (Å, degrees): 5.857 8.498 5.638 90.00 90.00 90.00
Space group Pnma (No. 62)
Unique sites:
1 Ho 0.065 0.250 0.027 (multiplicity 4)
2 Bi 0.000 0.000 0.500 (multiplicity 4)
3 N 0.199 0.579 0.806 (multiplicity 8)
4 O 0.071 0.750 0.349 (multiplicity 4)

total magnetic moment: 0.0 Bohr magnetons per cell
raw total energy: -133.645 eV/cell